A plane-wave DFT calculation with PBE-GGA was carried out for a relaxed structure of Tb5Dy4Er.

The structure in CIF format:
```
data_Tb5Dy4Er
_cell_length_a 3.543
_cell_length_b 6.785
_cell_length_c 13.813
_cell_angle_alpha 82.20
_cell_angle_beta 89.98
_cell_angle_gamma 75.02
_symmetry_space_group_name_H-M 'P -1'
_symmetry_Int_Tables_number 2
loop_
_symmetry_equiv_pos_as_xyz
'x,y,z'
'-x,-y,-z'
loop_
_atom_site_label
_atom_site_type_symbol
_atom_site_fract_x
_atom_site_fract_y
_atom_site_fract_z
_atom_site_occupancy
Tb1 Tb 0.000 0.000 0.000 1
Tb2 Tb 0.049 0.917 0.384 1
Tb3 Tb 0.310 0.375 0.415 1
Dy1 Dy 0.350 0.327 0.791 1
Dy2 Dy 0.427 0.204 0.191 1
Er1 Er 0.000 0.500 0.000 1
```

Values from the calculation:
- Fermi-level density of states: 17.5 states/eV/f.u.
- E_tot: -4.55 eV per atom
- Crystal system: triclinic
- Formation energy from the elements: 0.06 eV per atom